No. 1
First-principles (PBE-GGA) data for a relaxed ZnReSn2Se crystal, as listed in Alexandria.

Values from the calculation:
Its formation energy without anion corrections is 0.47 eV/atom. As for the symmetry: P4/mmm. The total magnetization is 0.000 μB/atom. The calculated density comes out at 7.0 g/cm³.

Lattice parameters (Å, degrees): 5.342 4.722 5.342 90.00 90.00 90.00
Fractional coordinates of all 5 atoms:
1 Zn 0.500 0.500 0.500
2 Sn 0.500 0.000 0.000
3 Sn 0.000 0.000 0.500
4 Se 0.000 0.500 0.000
5 Re 0.000 0.000 0.000

No. 2
First-principles (PBE-GGA) data for a relaxed SrRe4Se8 crystal, as listed in Alexandria.

Values from the calculation:
Its formation energy without anion corrections is -0.16 eV/atom. As for the symmetry: C2/m. The total magnetization is 0.439 μB/atom. The calculated density comes out at 7.3 g/cm³.

Lattice parameters (Å, degrees): 7.295 7.295 8.392 90.01 115.88 119.86
Fractional coordinates of all 13 atoms:
1 Se 0.969 0.231 0.199
2 Se 0.534 0.267 0.800
3 Se 0.461 0.231 0.199
4 Se 0.466 0.733 0.200
5 Se 0.539 0.769 0.801
6 Se 0.969 0.739 0.199
7 Se 0.031 0.261 0.801
8 Se 0.031 0.769 0.801
9 Sr 0.000 0.500 0.500
10 Re 0.000 0.500 0.000
11 Re 0.000 0.000 0.000
12 Re 0.500 0.000 0.000
13 Re 0.500 0.500 0.000

No. 3
First-principles (PBE-GGA) data for a relaxed Sr2ReSe crystal, as listed in Alexandria.

Values from the calculation:
Its formation energy without anion corrections is 0.21 eV/atom. As for the symmetry: P4mm. The total magnetization is 0.000 μB/atom. The calculated density comes out at 6.7 g/cm³.

Lattice parameters (Å, degrees): 3.425 3.425 9.243 90.00 90.00 90.00
Fractional coordinates of all 4 atoms:
1 Sr 0.000 0.000 0.930
2 Sr 0.500 0.500 0.319
3 Re 0.000 0.000 0.570
4 Se 0.500 0.500 0.681

No. 4
First-principles (PBE-GGA) data for a relaxed SrRe2Se crystal, as listed in Alexandria.

Values from the calculation:
Its formation energy without anion corrections is 1.01 eV/atom. As for the symmetry: Pmmm. The total magnetization is 0.000 μB/atom. The calculated density comes out at 10.8 g/cm³.

Lattice parameters (Å, degrees): 3.027 4.534 6.042 90.00 90.00 90.00
Fractional coordinates of all 4 atoms:
1 Se 0.500 0.500 0.250
2 Re 0.000 0.000 0.063
3 Re 0.000 0.000 0.437
4 Sr 0.500 0.500 0.750

Question: Number 4 is which compound?
Answer: SrRe2Se

Question: Among the records above, which one has the highest formation energy without anion corrections?
Answer: SrRe2Se

Question: Which of these has the lowest formation energy without anion corrections?
Answer: SrRe4Se8

Question: What is the calculated density in the first record?
Answer: 7.0 g/cm³